The following is a DFT calculation (SCAN) of a crystal of ReW3 relaxed with PBEsol.

Properties
Space-group type: C2/m
Excess energy over the best structure of this formula in the dataset (meV per atom): 13.4
Formation energy from the elements (eV per atom): 0.02

a = 5.193 Å, b = 5.193 Å, c = 2.721 Å
α = 100.13°, β = 100.13°, γ = 116.94°
Positions (direct):
Re: 0.000 0.000 0.000
W: 0.000 0.500 0.500
W: 0.500 0.000 0.500
W: 0.500 0.500 0.000

---

The following is a DFT calculation (SCAN) of a crystal of Y2SiBr relaxed with PBEsol.

Properties
Space-group type: R-3m
Energy relative to the elements, uncorrected (eV/atom): -1.173

a = 7.211 Å, b = 7.211 Å, c = 7.211 Å
α = 33.06°, β = 33.06°, γ = 33.06°
Positions (direct):
Y: 0.238 0.238 0.238
Y: 0.762 0.762 0.762
Si: 0.500 0.500 0.500
Br: 0.000 0.000 0.000

---

The following is a DFT calculation (SCAN) of a crystal of MnReAs2 relaxed with PBEsol.

Properties
Space-group type: P4/mmm
Excess energy over the best structure of this formula in the dataset (meV per atom): 173.0
Formation energy from the elements (eV per atom): 0.17

a = 4.230 Å, b = 4.230 Å, c = 3.011 Å
α = 90.00°, β = 90.00°, γ = 90.00°
Positions (direct):
Mn: 0.000 0.000 0.000
Re: 0.500 0.500 0.000
As: 0.000 0.500 0.500
As: 0.500 0.000 0.500

---

The following is a DFT calculation (SCAN) of a crystal of TiPRu3 relaxed with PBEsol.

Properties
Space-group type: Pm-3m
Formation energy from the elements (eV per atom): 0.02

a = 4.253 Å, b = 4.253 Å, c = 4.253 Å
α = 90.00°, β = 90.00°, γ = 90.00°
Positions (direct):
Ti: 0.000 0.000 0.000
P: 0.500 0.500 0.500
Ru: 0.000 0.500 0.500
Ru: 0.500 0.000 0.500
Ru: 0.500 0.500 0.000

---

The following is a DFT calculation (SCAN) of a crystal of Y2Cu2Bi relaxed with PBEsol.

Properties
Space-group type: P4/mbm
Formation energy from the elements (eV per atom): -0.53

a = 7.253 Å, b = 7.253 Å, c = 4.031 Å
α = 90.00°, β = 90.00°, γ = 90.00°
Positions (direct):
Y: 0.170 0.330 0.000
Y: 0.330 0.830 0.000
Y: 0.670 0.170 0.000
Y: 0.830 0.670 0.000
Cu: 0.119 0.619 0.500
Cu: 0.381 0.119 0.500
Cu: 0.619 0.881 0.500
Cu: 0.881 0.381 0.500
Bi: 0.000 0.000 0.500
Bi: 0.500 0.500 0.500

---

The following is a DFT calculation (SCAN) of a crystal of BeGaS2N relaxed with PBEsol.

Properties
Space-group type: P4/mmm
Energy relative to the elements, uncorrected (eV/atom): 0.917

a = 4.760 Å, b = 4.760 Å, c = 3.639 Å
α = 90.00°, β = 90.00°, γ = 90.00°
Positions (direct):
Be: 0.000 0.000 0.000
Ga: 0.500 0.500 0.500
S: 0.000 0.500 0.500
S: 0.500 0.000 0.500
N: 0.500 0.500 0.000

---

The following is a DFT calculation (SCAN) of a crystal of Ca3Pb relaxed with PBEsol.

Properties
Space-group type: Pm-3m
Formation energy from the elements (eV per atom): -0.51

a = 4.980 Å, b = 4.980 Å, c = 4.980 Å
α = 90.00°, β = 90.00°, γ = 90.00°
Positions (direct):
Ca: 0.000 0.000 0.500
Ca: 0.000 0.500 0.000
Ca: 0.500 0.000 0.000
Pb: 0.500 0.500 0.500

---

The following is a DFT calculation (SCAN) of a crystal of ReOsCl2 relaxed with PBEsol.

Properties
Space-group type: P4/mmm
Energy relative to the elements, uncorrected (eV/atom): 1.853
Excess energy over the best structure of this formula in the dataset (meV per atom): 1434.9

a = 2.759 Å, b = 2.759 Å, c = 8.329 Å
α = 90.00°, β = 90.00°, γ = 90.00°
Positions (direct):
Re: 0.000 0.000 0.000
Os: 0.000 0.000 0.500
Cl: 0.500 0.500 0.197
Cl: 0.500 0.500 0.803

---

The following is a DFT calculation (SCAN) of a crystal of TaRh2Cl relaxed with PBEsol.

Properties
Space-group type: Fm-3m
Energy relative to the elements, uncorrected (eV/atom): 0.293

a = 4.431 Å, b = 4.431 Å, c = 4.431 Å
α = 60.00°, β = 60.00°, γ = 60.00°
Positions (direct):
Ta: 0.000 0.000 0.000
Rh: 0.250 0.250 0.250
Rh: 0.750 0.750 0.750
Cl: 0.500 0.500 0.500

---

The following is a DFT calculation (SCAN) of a crystal of TcMo2W relaxed with PBEsol.

Properties
Space-group type: Fm-3m
Excess energy over the best structure of this formula in the dataset (meV per atom): 41.5
Formation energy from the elements (eV per atom): 0.04

a = 4.403 Å, b = 4.403 Å, c = 4.403 Å
α = 60.00°, β = 60.00°, γ = 60.00°
Positions (direct):
Tc: 0.000 0.000 0.000
Mo: 0.250 0.250 0.250
Mo: 0.750 0.750 0.750
W: 0.500 0.500 0.500

---

The following is a DFT calculation (SCAN) of a crystal of Ti2Co12P7 relaxed with PBEsol.

Properties
Space-group type: P-6
Formation energy from the elements (eV per atom): -0.67

a = 8.744 Å, b = 8.744 Å, c = 3.445 Å
α = 90.00°, β = 90.00°, γ = 120.00°
Positions (direct):
Ti: 0.000 0.000 0.000
Ti: 0.333 0.667 0.500
Co: 0.042 0.269 0.500
Co: 0.107 0.719 0.000
Co: 0.227 0.958 0.500
Co: 0.281 0.387 0.000
Co: 0.437 0.201 0.000
Co: 0.506 0.452 0.500
Co: 0.548 0.055 0.500
Co: 0.613 0.893 0.000
Co: 0.731 0.773 0.500
Co: 0.764 0.563 0.000
Co: 0.799 0.236 0.000
Co: 0.945 0.494 0.500
P: 0.077 0.454 0.000
P: 0.253 0.211 0.500
P: 0.377 0.923 0.000
P: 0.546 0.623 0.000
P: 0.667 0.333 0.500
P: 0.789 0.042 0.500
P: 0.958 0.747 0.500

---

The following is a DFT calculation (SCAN) of a crystal of Zn2Hg relaxed with PBEsol.

Properties
Space-group type: C2/m
Formation energy from the elements (eV per atom): 0.08

a = 6.547 Å, b = 6.547 Å, c = 6.368 Å
α = 116.53°, β = 116.53°, γ = 25.71°
Positions (direct):
Zn: 0.163 0.163 0.491
Zn: 0.218 0.218 0.134
Zn: 0.782 0.782 0.866
Zn: 0.837 0.837 0.509
Hg: 0.466 0.466 0.217
Hg: 0.534 0.534 0.783

---

The following is a DFT calculation (SCAN) of a crystal of Y2Si3Rh relaxed with PBEsol.

Properties
Space-group type: P6_3/mmc
Energy relative to the elements, uncorrected (eV/atom): -1.016

a = 8.107 Å, b = 8.107 Å, c = 7.773 Å
α = 90.00°, β = 90.00°, γ = 120.00°
Positions (direct):
Y: 0.000 0.000 0.250
Y: 0.000 0.000 0.750
Y: 0.019 0.509 0.250
Y: 0.491 0.509 0.250
Y: 0.491 0.981 0.250
Y: 0.509 0.019 0.750
Y: 0.509 0.491 0.750
Y: 0.981 0.491 0.750
Si: 0.167 0.335 0.502
Si: 0.167 0.335 0.998
Si: 0.167 0.833 0.502
Si: 0.167 0.833 0.998
Si: 0.335 0.167 0.002
Si: 0.335 0.167 0.498
Si: 0.665 0.833 0.502
Si: 0.665 0.833 0.998
Si: 0.833 0.167 0.002
Si: 0.833 0.167 0.498
Si: 0.833 0.665 0.002
Si: 0.833 0.665 0.498
Rh: 0.333 0.667 0.536
Rh: 0.333 0.667 0.964
Rh: 0.667 0.333 0.036
Rh: 0.667 0.333 0.464

---

The following is a DFT calculation (SCAN) of a crystal of Mg3Ta relaxed with PBEsol.

Properties
Space-group type: P-6m2
Formation energy from the elements (eV per atom): 0.21

a = 3.005 Å, b = 3.005 Å, c = 10.180 Å
α = 90.00°, β = 90.00°, γ = 120.00°
Positions (direct):
Mg: 0.000 0.000 0.000
Mg: 0.667 0.333 0.257
Mg: 0.667 0.333 0.743
Ta: 0.000 0.000 0.500

---

The following is a DFT calculation (SCAN) of a crystal of KHgC3N3O3 relaxed with PBEsol.

Properties
Space-group type: Pnma
Energy relative to the elements, uncorrected (eV/atom): -0.605

a = 10.303 Å, b = 3.964 Å, c = 17.652 Å
α = 90.00°, β = 90.00°, γ = 90.00°
Positions (direct):
K: 0.086 0.250 0.160
K: 0.414 0.750 0.660
K: 0.586 0.250 0.340
K: 0.914 0.750 0.840
Hg: 0.149 0.250 0.539
Hg: 0.351 0.750 0.039
Hg: 0.649 0.250 0.961
Hg: 0.851 0.750 0.461
C: 0.116 0.250 0.373
C: 0.123 0.250 0.970
C: 0.126 0.250 0.706
C: 0.374 0.750 0.206
C: 0.377 0.750 0.470
C: 0.384 0.750 0.873
C: 0.616 0.250 0.127
C: 0.623 0.250 0.530
C: 0.626 0.250 0.794
C: 0.874 0.750 0.294
C: 0.877 0.750 0.030
C: 0.884 0.750 0.627
N: 0.056 0.250 0.432
N: 0.204 0.250 0.655
N: 0.214 0.250 0.012
N: 0.286 0.750 0.512
N: 0.296 0.750 0.155
N: 0.444 0.750 0.932
N: 0.556 0.250 0.068
N: 0.704 0.250 0.845
N: 0.714 0.250 0.488
N: 0.786 0.750 0.988
N: 0.796 0.750 0.345
N: 0.944 0.750 0.568
O: 0.031 0.250 0.927
O: 0.054 0.250 0.759
O: 0.168 0.250 0.313
O: 0.332 0.750 0.813
O: 0.446 0.750 0.259
O: 0.469 0.750 0.427
O: 0.531 0.250 0.573
O: 0.554 0.250 0.741
O: 0.668 0.250 0.187
O: 0.832 0.750 0.687
O: 0.946 0.750 0.241
O: 0.969 0.750 0.073

---

The following is a DFT calculation (SCAN) of a crystal of KEuPSe4 relaxed with PBEsol.

Properties
Space-group type: P2_1/m
Energy relative to the elements, uncorrected (eV/atom): -1.125

a = 6.688 Å, b = 6.817 Å, c = 9.070 Å
α = 90.00°, β = 108.05°, γ = 90.00°
Positions (direct):
K: 0.239 0.250 0.433
K: 0.761 0.750 0.567
Eu: 0.272 0.250 0.953
Eu: 0.728 0.750 0.047
P: 0.301 0.750 0.192
P: 0.699 0.250 0.808
Se: 0.097 0.750 0.342
Se: 0.121 0.750 0.941
Se: 0.486 0.509 0.764
Se: 0.486 0.991 0.764
Se: 0.514 0.009 0.236
Se: 0.514 0.491 0.236
Se: 0.879 0.250 0.059
Se: 0.903 0.250 0.658

---

The following is a DFT calculation (SCAN) of a crystal of K2IrBr relaxed with PBEsol.

Properties
Space-group type: Imm2
Energy relative to the elements, uncorrected (eV/atom): -0.019
Excess energy over the best structure of this formula in the dataset (meV per atom): 0.0

a = 5.763 Å, b = 5.763 Å, c = 5.763 Å
α = 133.50°, β = 122.13°, γ = 77.28°
Positions (direct):
K: 0.000 0.000 0.000
K: 0.686 0.186 0.500
Ir: 0.383 0.383 0.000
Br: 0.308 0.808 0.500

---

The following is a DFT calculation (SCAN) of a crystal of ReGeSb2I relaxed with PBEsol.

Properties
Space-group type: P4/mmm
Energy relative to the elements, uncorrected (eV/atom): 0.955

a = 5.011 Å, b = 5.011 Å, c = 5.726 Å
α = 90.00°, β = 90.00°, γ = 90.00°
Positions (direct):
Re: 0.000 0.000 0.000
Ge: 0.500 0.500 0.500
Sb: 0.000 0.500 0.000
Sb: 0.500 0.000 0.000
I: 0.000 0.000 0.500

---

The following is a DFT calculation (SCAN) of a crystal of MnRe2Sb relaxed with PBEsol.

Properties
Space-group type: I4/mmm
Energy relative to the elements, uncorrected (eV/atom): 0.381

a = 4.649 Å, b = 4.649 Å, c = 4.649 Å
α = 128.40°, β = 128.40°, γ = 75.97°
Positions (direct):
Mn: 0.000 0.000 0.000
Re: 0.250 0.750 0.500
Re: 0.750 0.250 0.500
Sb: 0.500 0.500 0.000

---

The following is a DFT calculation (SCAN) of a crystal of YAl2 relaxed with PBEsol.

Properties
Space-group type: Cmcm
Formation energy from the elements (eV per atom): -0.49

a = 5.671 Å, b = 5.671 Å, c = 5.779 Å
α = 90.00°, β = 90.00°, γ = 137.69°
Positions (direct):
Y: 0.197 0.803 0.750
Y: 0.803 0.197 0.250
Al: 0.096 0.904 0.250
Al: 0.500 0.500 0.000
Al: 0.500 0.500 0.500
Al: 0.904 0.096 0.750

---

The following is a DFT calculation (SCAN) of a crystal of Li2CuRh relaxed with PBEsol.

Properties
Space-group type: Cm
Excess energy over the best structure of this formula in the dataset (meV per atom): 58.5
Formation energy from the elements (eV per atom): -0.08

a = 4.614 Å, b = 4.614 Å, c = 4.599 Å
α = 98.99°, β = 98.99°, γ = 32.03°
Positions (direct):
Li: 0.000 0.000 0.000
Li: 0.238 0.238 0.764
Cu: 0.495 0.495 0.475
Rh: 0.753 0.753 0.282

---

The following is a DFT calculation (SCAN) of a crystal of HRuPt2Se relaxed with PBEsol.

Properties
Space-group type: P4/mmm
Total DFT energy (no corrections) (Ry/atom): -2.88006

a = 3.804 Å, b = 3.804 Å, c = 4.446 Å
α = 90.00°, β = 90.00°, γ = 90.00°
Positions (direct):
H: 0.000 0.000 0.000
Ru: 0.500 0.500 0.500
Pt: 0.000 0.500 0.000
Pt: 0.500 0.000 0.000
Se: 0.000 0.000 0.500

---

The following is a DFT calculation (SCAN) of a crystal of BaMo4Br relaxed with PBEsol.

Properties
Space-group type: F-43m
Energy relative to the elements, uncorrected (eV/atom): 1.254

a = 5.508 Å, b = 5.508 Å, c = 5.508 Å
α = 60.00°, β = 60.00°, γ = 60.00°
Positions (direct):
Ba: 0.000 0.000 0.000
Mo: 0.133 0.622 0.622
Mo: 0.622 0.133 0.622
Mo: 0.622 0.622 0.133
Mo: 0.622 0.622 0.622
Br: 0.250 0.250 0.250

---

| no. | spin magnetization (μB/f.u.) |
| --- | --- |
| 1 | 0.00 |
| 2 | 0.00 |
| 3 | 2.31 |
| 4 | 0.00 |
| 5 | 0.00 |
| 6 | 2.08 |
| 7 | 0.00 |
| 8 | 0.01 |
| 9 | 0.00 |
| 10 | 0.00 |
| 11 | 7.16 |
| 12 | 0.00 |
| 13 | 0.00 |
| 14 | 0.00 |
| 15 | 0.00 |
| 16 | 6.97 |
| 17 | 0.00 |
| 18 | 0.00 |
| 19 | 1.98 |
| 20 | 0.01 |
| 21 | 0.54 |
| 22 | 0.00 |
| 23 | 0.00 |